one | Compound: BaLiCdBi2
Source: Alexandria
Functional: GGA-PBE
Structure: relaxed

a b c (Å): 7.688 7.688 7.688
angles (deg): 143.53 143.53 52.53
Fractional coordinates of all 5 atoms:
Ba  0.000  0.000  0.000
Li  0.750  0.250  0.500
Cd  0.250  0.750  0.500
Bi  0.380  0.380  0.000
Bi  0.620  0.620  0.000



two | Compound: BaLiCdBi2
Source: Alexandria
Functional: GGA-PBE
Structure: relaxed

a b c (Å): 5.354 5.354 5.428
angles (deg): 90.00 90.00 90.00
Fractional coordinates of all 5 atoms:
Ba  0.000  0.000  0.000
Li  0.500  0.500  0.500
Cd  0.500  0.500  0.000
Bi  0.000  0.500  0.500
Bi  0.500  0.000  0.500



The winner here is one, beating the second structure by 0.190 eV/atom.